*a*
DFT (PBE+U) results for CoSbN2F after structural relaxation.

Lattice parameters (Å, degrees): 4.0675 4.0675 4.0402 90.00 90.00 90.00
Closest atoms and distances in Å follow each position.
Space group P4/mmm (No. 123)
One atom of each set of equivalent atoms:
1 Co 0.0000 0.0000 0.0000 [1 per cell]  8 N 2.87, 4 F 2.88
2 Sb 0.5000 0.5000 0.5000 [1 per cell]  2 F 2.02, 4 N 2.03
3 N 0.0000 0.5000 0.5000 [2 per cell]  2 Sb 2.03
4 F 0.5000 0.5000 0.0000 [1 per cell]  2 Sb 2.02

Results
**D(E_F)**: 0.19 states/eV/atom
**Theoretical density**: 5.657 g cm⁻³



*b*
DFT (PBE+U) results for CoSbN2F after structural relaxation.

Lattice parameters (Å, degrees): 3.8331 3.8331 3.9411 90.00 90.00 90.00
Closest atoms and distances in Å follow each position.
Space group P4/mmm (No. 123)
One atom of each set of equivalent atoms:
1 Co 0.0000 0.0000 0.0000 [1 per cell]  4 N 1.92, 2 F 1.97
2 Sb 0.5000 0.5000 0.5000 [1 per cell]  4 F 2.71, 8 N 2.75
3 N 0.0000 0.5000 0.0000 [2 per cell]  2 Co 1.92
4 F 0.0000 0.0000 0.5000 [1 per cell]  2 Co 1.97

Results
**D(E_F)**: 0.47 states/eV/atom
**Theoretical density**: 6.530 g cm⁻³



Verdict on stability: *b* comes out on top.



*a*
DFT (PBE+U) results for ScCoN2F after structural relaxation.

Lattice parameters (Å, degrees): 3.7055 3.7055 3.8661 90.00 90.00 90.00
Closest atoms and distances in Å follow each position.
Space group P4/mmm (No. 123)
One atom of each set of equivalent atoms:
1 Sc 0.0000 0.0000 0.0000 [1 per cell]  4 F 2.62, 8 N 2.68
2 Co 0.5000 0.5000 0.5000 [1 per cell]  4 N 1.85, 2 F 1.93
3 N 0.0000 0.5000 0.5000 [2 per cell]  2 Co 1.85
4 F 0.5000 0.5000 0.0000 [1 per cell]  2 Co 1.93

Results
**D(E_F)**: 0.44 states/eV/atom
**Theoretical density**: 4.720 g cm⁻³



*b*
DFT (PBE+U) results for ScCoN2F after structural relaxation.

Lattice parameters (Å, degrees): 4.1502 4.1502 3.9559 90.00 90.00 90.00
Closest atoms and distances in Å follow each position.
Space group P4/mmm (No. 123)
One atom of each set of equivalent atoms:
1 Sc 0.0000 0.0000 0.0000 [1 per cell]  2 F 1.98, 4 N 2.08
2 Co 0.5000 0.5000 0.5000 [1 per cell]  8 N 2.87, 4 F 2.93
3 N 0.0000 0.5000 0.0000 [2 per cell]  2 Sc 2.08
4 F 0.0000 0.0000 0.5000 [1 per cell]  2 Sc 1.98

Results
**D(E_F)**: 0.50 states/eV/atom
**Theoretical density**: 3.678 g cm⁻³



Verdict on stability: *a* comes out on top.



*a*
DFT (PBE+U) results for ScCoNF2 after structural relaxation.

Lattice parameters (Å, degrees): 3.7197 3.7197 4.0582 90.00 90.00 90.00
Closest atoms and distances in Å follow each position.
Space group P4/mmm (No. 123)
One atom of each set of equivalent atoms:
1 Sc 0.0000 0.0000 0.0000 [1 per cell]  4 N 2.63, 8 F 2.75
2 Co 0.5000 0.5000 0.5000 [1 per cell]  4 F 1.86, 2 N 2.03
3 N 0.5000 0.5000 0.0000 [1 per cell]  2 Co 2.03
4 F 0.0000 0.5000 0.5000 [2 per cell]  2 Co 1.86

Results
**D(E_F)**: 0.17 states/eV/atom
**Theoretical density**: 4.610 g cm⁻³



*b*
DFT (PBE+U) results for ScCoNF2 after structural relaxation.

Lattice parameters (Å, degrees): 3.9629 3.9629 4.3875 90.00 90.00 90.00
Closest atoms and distances in Å follow each position.
Space group P4/mmm (No. 123)
One atom of each set of equivalent atoms:
1 Sc 0.0000 0.0000 0.0000 [1 per cell]  4 F 1.98, 2 N 2.19
2 Co 0.5000 0.5000 0.5000 [1 per cell]  4 N 2.80, 8 F 2.96
3 N 0.0000 0.0000 0.5000 [1 per cell]  2 Sc 2.19
4 F 0.0000 0.5000 0.0000 [2 per cell]  2 Sc 1.98

Results
**D(E_F)**: 0.28 states/eV/atom
**Theoretical density**: 3.757 g cm⁻³



Verdict on stability: *b* comes out on top.